Record 1
The following is a DFT calculation (GGA-PBE) of a geometry-optimized MgInRuO structure.

abc: 3.1558 3.1558 7.2717
angles: 90.00 90.00 120.00
Fractional coordinates of all 4 atoms:
Mg 0.6667 0.3333 0.6739
In 0.0000 0.0000 0.0870
Ru 0.3333 0.6667 0.3567
O 0.0000 0.0000 0.7913

Output
Final energy in hartree per atom: -0.19844
V in Å³ per cell: 63
DOS at the Fermi energy in states/eV/cell: 2.0
ΔE_f (raw) in eV per atom: -0.76

***

Record 2
The following is a DFT calculation (GGA-PBE) of a geometry-optimized MgInRuO structure.

abc: 7.4286 3.0233 5.5526
angles: 90.00 107.73 90.00
Fractional coordinates of all 8 atoms:
Mg 0.8554 0.0000 0.5765
Mg 0.8554 0.5000 0.0765
In 0.4508 0.0000 0.1770
In 0.4508 0.5000 0.6770
Ru 0.1682 0.0000 0.3813
Ru 0.1682 0.5000 0.8813
O 0.7039 0.0000 0.8369
O 0.7039 0.5000 0.3369

Output
Final energy in hartree per atom: -0.19631
V in Å³ per cell: 119
DOS at the Fermi energy in states/eV/cell: 4.4
ΔE_f (raw) in eV per atom: -0.70

***

Record 3
The following is a DFT calculation (GGA-PBE) of a geometry-optimized MgInRuO structure.

abc: 2.8722 2.9271 7.7585
angles: 89.66 79.45 90.00
Fractional coordinates of all 4 atoms:
Mg 0.4253 0.4106 0.6945
In 0.7055 0.4207 0.1298
Ru 0.0731 0.9159 0.3964
O 0.9286 0.9108 0.6881

Output
Final energy in hartree per atom: -0.19819
V in Å³ per cell: 64
DOS at the Fermi energy in states/eV/cell: 2.3
ΔE_f (raw) in eV per atom: -0.75

***

Record 4
The following is a DFT calculation (GGA-PBE) of a geometry-optimized MgInRuO structure.

abc: 6.7409 4.2980 4.2982
angles: 90.00 108.61 90.00
Fractional coordinates of all 8 atoms:
Mg 0.6022 0.0000 0.3576
Mg 0.6022 0.5000 0.8576
In 0.0363 0.0000 0.0743
In 0.0363 0.5000 0.5743
Ru 0.2922 0.0000 0.7025
Ru 0.2922 0.5000 0.2025
O 0.6762 0.0000 0.8940
O 0.6762 0.5000 0.3940

Output
Final energy in hartree per atom: -0.19928
V in Å³ per cell: 118
DOS at the Fermi energy in states/eV/cell: 6.5
ΔE_f (raw) in eV per atom: -0.78

***

Record 5
The following is a DFT calculation (GGA-PBE) of a geometry-optimized MgInRuO structure.

abc: 3.0950 4.4657 5.7028
angles: 90.05 90.08 90.01
Fractional coordinates of all 4 atoms:
Mg 0.4257 0.7659 0.8148
In 0.4241 0.2657 0.2076
Ru 0.9244 0.7655 0.2679
O 0.9251 0.7697 0.6185

Output
Final energy in hartree per atom: -0.19100
V in Å³ per cell: 79
DOS at the Fermi energy in states/eV/cell: 2.4
ΔE_f (raw) in eV per atom: -0.56

***

Record 6
The following is a DFT calculation (GGA-PBE) of a geometry-optimized MgInRuO structure.

abc: 3.1818 3.1818 21.3441
angles: 90.00 90.00 120.00
Fractional coordinates of all 12 atoms:
Mg 0.0000 0.0000 0.9896
Mg 0.3333 0.6667 0.6563
Mg 0.6667 0.3333 0.3230
In 0.0000 0.0000 0.4620
In 0.3333 0.6667 0.1287
In 0.6667 0.3333 0.7953
Ru 0.0000 0.0000 0.2198
Ru 0.3333 0.6667 0.8864
Ru 0.6667 0.3333 0.5531
O 0.0000 0.0000 0.3600
O 0.3333 0.6667 0.0266
O 0.6667 0.3333 0.6933

Output
Final energy in hartree per atom: -0.19985
V in Å³ per cell: 187
DOS at the Fermi energy in states/eV/cell: 4.5
ΔE_f (raw) in eV per atom: -0.80

***

Record 7
The following is a DFT calculation (GGA-PBE) of a geometry-optimized MgIn2SbO6 structure.

abc: 5.5214 5.5221 5.8122
angles: 61.64 61.65 60.00
Fractional coordinates of all 10 atoms:
Mg 0.8102 0.8102 0.5694
In 0.5268 0.5268 0.4197
In 0.0259 0.0259 0.9223
Sb 0.3139 0.3139 0.0583
O 0.6115 0.2040 0.2548
O 0.2040 0.9299 0.2546
O 0.9300 0.6114 0.2546
O 0.4276 0.6986 0.7605
O 0.6985 0.1133 0.7605
O 0.1132 0.4276 0.7606

Output
Final energy in hartree per atom: -0.21148
V in Å³ per cell: 128
DOS at the Fermi energy in states/eV/cell: 3.2
ΔE_f (raw) in eV per atom: -1.66

***

Record 8
The following is a DFT calculation (GGA-PBE) of a geometry-optimized MgIn2SnO6 structure.

abc: 5.4518 5.4517 5.7683
angles: 61.80 61.80 60.00
Fractional coordinates of all 10 atoms:
Mg 0.8110 0.8110 0.5670
In 0.5261 0.5261 0.4218
In 0.0259 0.0259 0.9223
Sn 0.3151 0.3151 0.0547
O 0.6033 0.2034 0.2566
O 0.2034 0.9367 0.2566
O 0.9367 0.6033 0.2566
O 0.4305 0.7002 0.7599
O 0.7002 0.1094 0.7599
O 0.1094 0.4305 0.7599

Output
Final energy in hartree per atom: -0.21666
V in Å³ per cell: 124
DOS at the Fermi energy in states/eV/cell: 0.0
ΔE_f (raw) in eV per atom: -1.81

***

Record 9
The following is a DFT calculation (GGA-PBE) of a geometry-optimized Sr2MgInO structure.

abc: 5.3802 5.3802 4.3127
angles: 90.00 90.00 90.00
Fractional coordinates of all 5 atoms:
Sr 0.0000 0.5000 0.0000
Sr 0.5000 0.0000 0.0000
Mg 0.0000 0.0000 0.5000
O 0.0000 0.0000 0.0000
In 0.5000 0.5000 0.5000

Output
Final energy in hartree per atom: -0.13600
V in Å³ per cell: 125
DOS at the Fermi energy in states/eV/cell: 1.7
ΔE_f (raw) in eV per atom: -1.17

***

Record 10
The following is a DFT calculation (GGA-PBE) of a geometry-optimized Mg2TaInO6 structure.

abc: 5.2997 5.2997 5.6648
angles: 62.11 62.11 59.99
Fractional coordinates of all 10 atoms:
Mg 0.5216 0.5216 0.4351
Mg 0.0221 0.0221 0.9337
Ta 0.3147 0.3147 0.0560
In 0.8080 0.8080 0.5759
O 0.5929 0.2250 0.2438
O 0.2249 0.9384 0.2438
O 0.9384 0.5929 0.2438
O 0.4041 0.7071 0.7610
O 0.7071 0.1278 0.7611
O 0.1279 0.4041 0.7610

Output
Final energy in hartree per atom: -0.26633
V in Å³ per cell: 116
DOS at the Fermi energy in states/eV/cell: 0.0
ΔE_f (raw) in eV per atom: -2.49

***

Record 11
The following is a DFT calculation (GGA-PBE) of a geometry-optimized Mg2InTcO6 structure.

abc: 5.2785 5.2788 5.6285
angles: 62.03 62.04 60.00
Fractional coordinates of all 10 atoms:
Mg 0.5230 0.5231 0.4310
Mg 0.0193 0.0191 0.9424
In 0.8077 0.8076 0.5772
Tc 0.3184 0.3184 0.0449
O 0.5890 0.2267 0.2438
O 0.2265 0.9405 0.2438
O 0.9405 0.5890 0.2438
O 0.4012 0.7078 0.7627
O 0.7078 0.1282 0.7628
O 0.1283 0.4012 0.7628

Output
Final energy in hartree per atom: -0.23901
V in Å³ per cell: 114
DOS at the Fermi energy in states/eV/cell: 4.3
ΔE_f (raw) in eV per atom: -1.90

***

Record 12
The following is a DFT calculation (GGA-PBE) of a geometry-optimized MgInTcO6 structure.

abc: 5.1560 5.1560 9.2381
angles: 90.00 90.00 120.00
Fractional coordinates of all 18 atoms:
Mg 0.6667 0.3333 0.2500
Mg 0.3333 0.6667 0.7500
In 0.0000 0.0000 0.0000
In 0.0000 0.0000 0.5000
Tc 0.3333 0.6667 0.2500
Tc 0.6667 0.3333 0.7500
O 0.6359 0.6609 0.1347
O 0.0250 0.3641 0.1347
O 0.3641 0.0250 0.6347
O 0.9750 0.6359 0.8653
O 0.3391 0.3641 0.3653
O 0.0250 0.6609 0.3653
O 0.6609 0.0250 0.8653
O 0.6359 0.9750 0.3653
O 0.9750 0.3391 0.6347
O 0.3391 0.9750 0.1347
O 0.6609 0.6359 0.6347
O 0.3641 0.3391 0.8653

Output
Final energy in hartree per atom: -0.23957
V in Å³ per cell: 213
ΔE_f (raw) in eV per atom: -1.58

***

Record 13
The following is a DFT calculation (GGA-PBE) of a geometry-optimized MgInTeO6 structure.

abc: 5.2881 5.2881 9.0247
angles: 90.00 90.00 120.00
Fractional coordinates of all 18 atoms:
Mg 0.6667 0.3333 0.2500
Mg 0.3333 0.6667 0.7500
In 0.0000 0.0000 0.0000
In 0.0000 0.0000 0.5000
Te 0.3333 0.6667 0.2500
Te 0.6667 0.3333 0.7500
O 0.6394 0.6590 0.1330
O 0.0197 0.3606 0.1330
O 0.3606 0.0197 0.6330
O 0.9803 0.6394 0.8670
O 0.3410 0.3606 0.3670
O 0.0197 0.6590 0.3670
O 0.6590 0.0197 0.8670
O 0.6394 0.9803 0.3670
O 0.9803 0.3410 0.6330
O 0.3410 0.9803 0.1330
O 0.6590 0.6394 0.6330
O 0.3606 0.3410 0.8670

Output
Final energy in hartree per atom: -0.20360
V in Å³ per cell: 219
DOS at the Fermi energy in states/eV/cell: 7.3
ΔE_f (raw) in eV per atom: -1.40

***

Record 14
The following is a DFT calculation (GGA-PBE) of a geometry-optimized MgInTe2O8 structure.

abc: 6.0135 6.0135 6.0135
angles: 108.43 108.43 111.58
Fractional coordinates of all 12 atoms:
Mg 0.0000 0.0000 0.0000
In 0.2500 0.7500 0.5000
Te 0.7500 0.2500 0.5000
Te 0.5000 0.5000 0.0000
O 0.3675 0.0616 0.3058
O 0.3017 0.4945 0.1928
O 0.3017 0.1089 0.8072
O 0.7558 0.0616 0.6942
O 0.8911 0.6983 0.1928
O 0.9384 0.2442 0.3058
O 0.9384 0.6325 0.6942
O 0.5055 0.6983 0.8072

Output
Final energy in hartree per atom: -0.19590
V in Å³ per cell: 167
DOS at the Fermi energy in states/eV/cell: 3.1
ΔE_f (raw) in eV per atom: -1.14

***

Record 15
The following is a DFT calculation (GGA-PBE) of a geometry-optimized MgTiIn2O6 structure.

abc: 5.3524 5.3523 5.6750
angles: 61.87 61.86 60.00
Fractional coordinates of all 10 atoms:
Mg 0.8106 0.8106 0.5681
Ti 0.3122 0.3122 0.0635
In 0.5247 0.5247 0.4259
In 0.0300 0.0300 0.9099
O 0.5864 0.2054 0.2512
O 0.2054 0.9569 0.2512
O 0.9569 0.5865 0.2512
O 0.4361 0.6898 0.7647
O 0.6898 0.1093 0.7647
O 0.1093 0.4362 0.7647

Output
Final energy in hartree per atom: -0.24539
V in Å³ per cell: 118
DOS at the Fermi energy in states/eV/cell: 0.0
ΔE_f (raw) in eV per atom: -2.21

***

Record 16
The following is a DFT calculation (GGA-PBE) of a geometry-optimized MgTi2InO structure.

abc: 4.1865 4.1865 4.4373
angles: 90.00 90.00 90.00
Fractional coordinates of all 5 atoms:
Mg 0.0000 0.0000 0.5000
Ti 0.0000 0.5000 0.0000
Ti 0.5000 0.0000 0.0000
O 0.0000 0.0000 0.0000
In 0.5000 0.5000 0.5000

Output
Final energy in hartree per atom: -0.22016
V in Å³ per cell: 78
DOS at the Fermi energy in states/eV/cell: 4.7
ΔE_f (raw) in eV per atom: -0.97